DFT (PBE) results for a relaxed NaYCdHg crystal.

Lattice parameters (Å, degrees): 5.2010 5.2010 5.2010 60.00 60.00 60.00
Positions (direct):
1 Na 0.0000 0.0000 0.0000
2 Y 0.5000 0.5000 0.5000
3 Cd 0.7500 0.7500 0.7500
4 Hg 0.2500 0.2500 0.2500

Values from the calculation:
- Calculated density: 7092 kg/m³
- Energy of formation: -0.251 eV per atom
- Energy: -2.501 eV per atom
- Crystal system: cubic

---

DFT (PBE) results for a relaxed RbTl6Cd6 crystal.

Lattice parameters (Å, degrees): 8.4238 8.4238 8.4238 137.25 100.88 94.41
Positions (direct):
1 Rb 0.0000 0.0000 0.0000
2 Tl 0.1962 0.5000 0.6962
3 Tl 0.3506 0.0000 0.3506
4 Tl 0.3564 0.3564 0.0000
5 Tl 0.6436 0.6436 0.0000
6 Tl 0.6494 0.0000 0.6494
7 Tl 0.8038 0.5000 0.3038
8 Cd 0.0000 0.0000 0.5000
9 Cd 0.0000 0.5000 0.0000
10 Cd 0.2286 0.7286 0.5000
11 Cd 0.5000 0.0000 0.0000
12 Cd 0.5000 0.5000 0.5000
13 Cd 0.7714 0.2714 0.5000

Values from the calculation:
- Calculated density: 8747 kg/m³
- Energy of formation: -0.015 eV per atom
- Energy: -1.604 eV per atom
- Crystal system: orthorhombic

---

DFT (PBE) results for a relaxed Sm3Ni6Ge2 crystal.

Lattice parameters (Å, degrees): 7.7646 7.7646 7.7646 109.47 109.47 109.47
Positions (direct):
1 Sm 0.0000 0.2865 0.2865
2 Sm 0.0000 0.7135 0.7135
3 Sm 0.2865 0.0000 0.2865
4 Sm 0.2865 0.2865 0.0000
5 Sm 0.7135 0.0000 0.7135
6 Sm 0.7135 0.7135 0.0000
7 Ni 0.0000 0.3346 0.6654
8 Ni 0.0000 0.6654 0.3346
9 Ni 0.3309 0.6654 0.6654
10 Ni 0.3346 0.0000 0.6654
11 Ni 0.3346 0.3346 0.6691
12 Ni 0.3346 0.6654 0.0000
13 Ni 0.3346 0.6691 0.3346
14 Ni 0.6654 0.0000 0.3346
15 Ni 0.6654 0.3309 0.6654
16 Ni 0.6654 0.3346 0.0000
17 Ni 0.6654 0.6654 0.3309
18 Ni 0.6691 0.3346 0.3346
19 Ge 0.0000 0.0000 0.5000
20 Ge 0.0000 0.5000 0.0000
21 Ge 0.5000 0.0000 0.0000
22 Ge 0.5000 0.5000 0.5000

Values from the calculation:
- Calculated density: 8742 kg/m³
- Energy of formation: -0.527 eV per atom
- Energy: -5.807 eV per atom
- Crystal system: cubic